Entry 1:
First-principles (PBE-GGA) data for TmZnRh2 after structural relaxation, as listed in Alexandria.

energy of formation from the pure elements: -2.9 eV per formula unit
M_tot: 0.00 μB per formula unit

abc: 4.525 4.524 4.525
angles: 59.99 59.97 60.00
Fractional positions:
Zn1 0.750 0.750 0.750
Tm1 0.250 0.250 0.250
Rh1 0.000 0.000 0.000
Rh2 0.500 0.500 0.500

Entry 2:
First-principles (PBE-GGA) data for Tm6ZnRh2 after structural relaxation, as listed in Alexandria.

energy of formation from the pure elements: -5.0 eV per formula unit
M_tot: 0.00 μB per formula unit

abc: 8.283 8.283 8.283
angles: 104.29 111.65 112.60
Fractional positions:
Tm1 0.541 0.719 0.821
Tm2 0.459 0.281 0.179
Tm3 0.102 0.281 0.821
Tm4 0.898 0.719 0.179
Tm5 0.807 0.759 0.566
Tm6 0.193 0.241 0.434
Tm7 0.193 0.759 0.952
Tm8 0.807 0.241 0.048
Tm9 0.695 0.366 0.671
Tm10 0.305 0.634 0.329
Tm11 0.305 0.976 0.671
Tm12 0.695 0.024 0.329
Zn1 0.000 0.500 0.500
Zn2 0.000 0.000 0.000
Rh1 0.500 0.367 0.867
Rh2 0.500 0.633 0.133
Rh3 0.669 0.000 0.669
Rh4 0.331 0.000 0.331

Entry 3:
First-principles (PBE-GGA) data for Tm2Zn16Rh after structural relaxation, as listed in Alexandria.

energy of formation from the pure elements: -4.8 eV per formula unit
M_tot: 0.00 μB per formula unit

abc: 6.753 6.753 6.753
angles: 82.77 82.77 82.77
Fractional positions:
Tm1 0.674 0.674 0.674
Tm2 0.339 0.339 0.339
Zn1 0.707 0.998 0.290
Zn2 0.998 0.290 0.707
Zn3 0.290 0.707 0.998
Zn4 0.998 0.707 0.290
Zn5 0.707 0.290 0.998
Zn6 0.290 0.998 0.707
Zn7 0.357 0.836 0.357
Zn8 0.836 0.357 0.357
Zn9 0.357 0.357 0.836
Zn10 0.647 0.153 0.647
Zn11 0.153 0.647 0.647
Zn12 0.647 0.647 0.153
Zn13 0.997 0.504 0.997
Zn14 0.504 0.997 0.997
Zn15 0.997 0.997 0.504
Zn16 0.103 0.103 0.103
Rh1 0.900 0.900 0.900

Entry 4:
First-principles (PBE-GGA) data for Tm3ZnRh8 after structural relaxation, as listed in Alexandria.

energy of formation from the pure elements: -7.1 eV per formula unit
M_tot: 0.00 μB per formula unit

abc: 5.251 5.251 9.124
angles: 73.28 73.28 60.00
Fractional positions:
Tm1 0.624 0.624 0.128
Tm2 0.007 0.007 0.980
Tm3 0.495 0.495 0.516
Zn1 0.130 0.130 0.611
Rh1 0.563 0.062 0.813
Rh2 0.062 0.561 0.316
Rh3 0.563 0.563 0.813
Rh4 0.062 0.062 0.316
Rh5 0.812 0.812 0.565
Rh6 0.312 0.312 0.065
Rh7 0.062 0.563 0.813
Rh8 0.561 0.062 0.316

Entry 5:
First-principles (PBE-GGA) data for TmZn2Rh after structural relaxation, as listed in Alexandria.

energy of formation from the pure elements: -1.7 eV per formula unit
M_tot: 0.00 μB per formula unit

abc: 4.595 3.896 3.896
angles: 90.00 90.00 90.00
Fractional positions:
Zn1 0.000 0.000 0.500
Zn2 0.000 0.500 0.000
Tm1 0.500 0.000 0.000
Rh1 0.500 0.500 0.500

Entry 6:
First-principles (PBE-GGA) data for TmZn2Rh after structural relaxation, as listed in Alexandria.

energy of formation from the pure elements: -1.8 eV per formula unit
M_tot: 0.00 μB per formula unit

abc: 4.565 4.565 4.565
angles: 60.00 60.00 60.00
Fractional positions:
Zn1 0.250 0.250 0.250
Zn2 0.750 0.750 0.750
Tm1 0.000 0.000 0.000
Rh1 0.500 0.500 0.500

Entry 7:
First-principles (PBE-GGA) data for TmZn5Rh2 after structural relaxation, as listed in Alexandria.

energy of formation from the pure elements: -2.9 eV per formula unit
M_tot: 0.00 μB per formula unit

abc: 3.700 6.391 6.391
angles: 75.56 73.17 73.17
Fractional positions:
Tm1 0.000 0.000 0.000
Zn1 0.000 0.500 0.500
Zn2 0.650 0.540 0.160
Zn3 0.350 0.460 0.840
Zn4 0.350 0.840 0.460
Zn5 0.650 0.160 0.540
Rh1 0.731 0.769 0.769
Rh2 0.269 0.231 0.231

Entry 8:
First-principles (PBE-GGA) data for Tm4ZnRh3 after structural relaxation, as listed in Alexandria.

energy of formation from the pure elements: -6.5 eV per formula unit
M_tot: 0.00 μB per formula unit

abc: 4.817 4.817 8.381
angles: 73.30 73.30 60.00
Fractional positions:
Zn1 0.000 0.000 0.000
Tm1 0.873 0.873 0.382
Tm2 0.378 0.378 0.866
Tm3 0.127 0.127 0.618
Tm4 0.622 0.622 0.134
Rh1 0.250 0.250 0.249
Rh2 0.750 0.750 0.751
Rh3 0.500 0.500 0.500